[1]
Entry from Alexandria via LeMat-Bulk: Tb2DySc after structural relaxation (GGA-PBE).

a = 6.011 Å, b = 6.948 Å, c = 6.953 Å
α = 60.26°, β = 73.72°, γ = 73.59°
Positions (direct):
Tb  0.250  0.123  0.127
Tb  0.250  0.626  0.624
Tb  0.750  0.374  0.376
Tb  0.750  0.877  0.873
Dy  0.246  0.626  0.126
Dy  0.754  0.374  0.874
Sc  0.255  0.124  0.623
Sc  0.745  0.876  0.377

Computed properties:
Its formation energy is 40.5 meV/atom. Its offset from the most stable computed form is 0.029 eV/f.u.


[2]
Entry from Alexandria via LeMat-Bulk: Tb7Dy16Sc6 after structural relaxation (GGA-PBE).

a = 10.957 Å, b = 10.957 Å, c = 10.957 Å
α = 60.00°, β = 60.00°, γ = 60.00°
Positions (direct):
Tb  0.000  0.000  0.000
Tb  0.000  0.000  0.500
Tb  0.000  0.500  0.000
Tb  0.000  0.500  0.500
Tb  0.500  0.000  0.000
Tb  0.500  0.000  0.500
Tb  0.500  0.500  0.000
Dy  0.067  0.644  0.644
Dy  0.125  0.125  0.125
Dy  0.125  0.125  0.625
Dy  0.125  0.625  0.125
Dy  0.356  0.356  0.356
Dy  0.356  0.356  0.933
Dy  0.356  0.933  0.356
Dy  0.375  0.875  0.875
Dy  0.625  0.125  0.125
Dy  0.644  0.067  0.644
Dy  0.644  0.644  0.067
Dy  0.644  0.644  0.644
Dy  0.875  0.375  0.875
Dy  0.875  0.875  0.375
Dy  0.875  0.875  0.875
Dy  0.933  0.356  0.356
Sc  0.257  0.257  0.743
Sc  0.257  0.743  0.257
Sc  0.257  0.743  0.743
Sc  0.743  0.257  0.257
Sc  0.743  0.257  0.743
Sc  0.743  0.743  0.257

Computed properties:
Its formation energy is 279.8 meV/atom.


[3]
Entry from Alexandria via LeMat-Bulk: Tb7DySc3 after structural relaxation (GGA-PBE).

a = 6.965 Å, b = 6.965 Å, c = 8.251 Å
α = 90.00°, β = 90.00°, γ = 120.00°
Positions (direct):
Tb  0.000  0.000  0.000
Tb  0.166  0.331  0.656
Tb  0.166  0.834  0.656
Tb  0.501  0.002  0.014
Tb  0.501  0.499  0.014
Tb  0.669  0.834  0.656
Tb  0.998  0.499  0.014
Dy  0.667  0.333  0.670
Sc  0.334  0.167  0.335
Sc  0.833  0.167  0.335
Sc  0.833  0.666  0.335

Computed properties:
Its formation energy is 218.3 meV/atom. Its offset from the most stable computed form is 0.741 eV/f.u.


[4]
Entry from Alexandria via LeMat-Bulk: Tb4Dy15Sc after structural relaxation (GGA-PBE).

a = 5.000 Å, b = 5.000 Å, c = 24.943 Å
α = 90.00°, β = 90.00°, γ = 90.00°
Positions (direct):
Tb  0.000  0.000  0.101
Tb  0.000  0.000  0.302
Tb  0.000  0.000  0.698
Tb  0.000  0.000  0.899
Dy  0.000  0.500  0.000
Dy  0.000  0.500  0.202
Dy  0.000  0.500  0.403
Dy  0.000  0.500  0.597
Dy  0.000  0.500  0.798
Dy  0.500  0.000  0.000
Dy  0.500  0.000  0.202
Dy  0.500  0.000  0.403
Dy  0.500  0.000  0.597
Dy  0.500  0.000  0.798
Dy  0.500  0.500  0.101
Dy  0.500  0.500  0.303
Dy  0.500  0.500  0.500
Dy  0.500  0.500  0.697
Dy  0.500  0.500  0.899
Sc  0.000  0.000  0.500

Computed properties:
Its formation energy is 22.2 meV/atom.


[5]
Entry from Alexandria via LeMat-Bulk: Tb3Dy8Sc after structural relaxation (GGA-PBE).

a = 9.337 Å, b = 9.337 Å, c = 9.337 Å
α = 131.75°, β = 131.75°, γ = 70.63°
Positions (direct):
Tb  0.000  0.000  0.000
Tb  0.250  0.750  0.500
Tb  0.750  0.250  0.500
Dy  0.132  0.132  0.509
Dy  0.132  0.623  0.000
Dy  0.377  0.377  0.509
Dy  0.377  0.868  0.000
Dy  0.623  0.132  0.000
Dy  0.623  0.623  0.491
Dy  0.868  0.377  0.000
Dy  0.868  0.868  0.491
Sc  0.500  0.500  0.000

Computed properties:
Its formation energy is 723.9 meV/atom.


[6]
Entry from Alexandria via LeMat-Bulk: Tb15Dy4Sc after structural relaxation (GGA-PBE).

a = 5.015 Å, b = 5.015 Å, c = 25.019 Å
α = 90.00°, β = 90.00°, γ = 90.00°
Positions (direct):
Tb  0.000  0.000  0.000
Tb  0.000  0.000  0.197
Tb  0.000  0.000  0.399
Tb  0.000  0.000  0.601
Tb  0.000  0.000  0.803
Tb  0.000  0.500  0.097
Tb  0.000  0.500  0.298
Tb  0.000  0.500  0.500
Tb  0.000  0.500  0.702
Tb  0.000  0.500  0.903
Tb  0.500  0.000  0.097
Tb  0.500  0.000  0.298
Tb  0.500  0.000  0.500
Tb  0.500  0.000  0.702
Tb  0.500  0.000  0.903
Dy  0.500  0.500  0.198
Dy  0.500  0.500  0.399
Dy  0.500  0.500  0.601
Dy  0.500  0.500  0.802
Sc  0.500  0.500  0.000

Computed properties:
Its formation energy is 21.1 meV/atom.


[7]
Entry from Alexandria via LeMat-Bulk: TbDySc4 after structural relaxation (GGA-PBE).

a = 9.780 Å, b = 9.780 Å, c = 5.310 Å
α = 90.00°, β = 90.00°, γ = 140.89°
Positions (direct):
Tb  0.125  0.875  0.750
Tb  0.875  0.125  0.250
Dy  0.375  0.625  0.250
Dy  0.625  0.375  0.750
Sc  0.042  0.459  0.750
Sc  0.209  0.292  0.749
Sc  0.292  0.209  0.249
Sc  0.459  0.042  0.250
Sc  0.541  0.958  0.750
Sc  0.708  0.791  0.751
Sc  0.791  0.708  0.251
Sc  0.958  0.541  0.250

Computed properties:
Its formation energy is 61.7 meV/atom. Its offset from the most stable computed form is 0.153 eV/f.u.


[8]
Entry from Alexandria via LeMat-Bulk: Tb5Dy12Sc after structural relaxation (GGA-PBE).

a = 6.133 Å, b = 6.133 Å, c = 17.300 Å
α = 93.38°, β = 93.38°, γ = 119.99°
Positions (direct):
Tb  0.000  0.000  0.000
Tb  0.167  0.833  0.500
Tb  0.333  0.667  0.000
Tb  0.667  0.333  0.000
Tb  0.833  0.167  0.500
Dy  0.056  0.389  0.167
Dy  0.114  0.114  0.334
Dy  0.224  0.555  0.666
Dy  0.277  0.277  0.833
Dy  0.389  0.056  0.167
Dy  0.445  0.776  0.334
Dy  0.555  0.224  0.666
Dy  0.611  0.944  0.833
Dy  0.723  0.723  0.167
Dy  0.776  0.445  0.334
Dy  0.886  0.886  0.666
Dy  0.944  0.611  0.833
Sc  0.500  0.500  0.500

Computed properties:
Its formation energy is 12.3 meV/atom.


[9]
Entry from Alexandria via LeMat-Bulk: Tb4Dy8Sc after structural relaxation (GGA-PBE).

a = 9.624 Å, b = 9.624 Å, c = 9.624 Å
α = 45.39°, β = 45.39°, γ = 45.39°
Positions (direct):
Tb  0.000  0.000  0.000
Tb  0.000  0.500  0.500
Tb  0.500  0.000  0.500
Tb  0.500  0.500  0.000
Dy  0.184  0.746  0.746
Dy  0.221  0.221  0.221
Dy  0.254  0.254  0.816
Dy  0.254  0.816  0.254
Dy  0.746  0.184  0.746
Dy  0.746  0.746  0.184
Dy  0.779  0.779  0.779
Dy  0.816  0.254  0.254
Sc  0.500  0.500  0.500

Computed properties:
Its formation energy is 186.9 meV/atom.


[10]
Entry from Alexandria via LeMat-Bulk: Tb4DySc8 after structural relaxation (GGA-PBE).

a = 7.381 Å, b = 7.381 Å, c = 7.381 Å
α = 90.14°, β = 90.14°, γ = 90.14°
Positions (direct):
Tb  0.000  0.000  0.000
Tb  0.000  0.500  0.500
Tb  0.500  0.000  0.500
Tb  0.500  0.500  0.000
Dy  0.500  0.500  0.500
Sc  0.239  0.239  0.759
Sc  0.239  0.759  0.239
Sc  0.240  0.240  0.240
Sc  0.241  0.761  0.761
Sc  0.759  0.239  0.239
Sc  0.760  0.760  0.760
Sc  0.761  0.241  0.761
Sc  0.761  0.761  0.241

Computed properties:
Its formation energy is 595.9 meV/atom.


[11]
Entry from Alexandria via LeMat-Bulk: Tb2DySc6 after structural relaxation (GGA-PBE).

a = 9.207 Å, b = 9.207 Å, c = 3.275 Å
α = 90.12°, β = 90.12°, γ = 60.01°
Positions (direct):
Tb  0.167  0.167  0.000
Tb  0.833  0.833  0.000
Dy  0.500  0.500  0.000
Sc  0.167  0.500  0.501
Sc  0.167  0.833  0.500
Sc  0.500  0.167  0.501
Sc  0.500  0.833  0.499
Sc  0.833  0.167  0.500
Sc  0.833  0.500  0.499

Computed properties:
Its formation energy is 65.7 meV/atom. Its offset from the most stable computed form is 0.000 eV/f.u.


[12]
Entry from Alexandria via LeMat-Bulk: Tb4DySc2 after structural relaxation (GGA-PBE).

a = 7.576 Å, b = 7.576 Å, c = 7.768 Å
α = 90.04°, β = 90.04°, γ = 90.00°
Positions (direct):
Tb  0.241  0.758  0.732
Tb  0.242  0.242  0.268
Tb  0.242  0.242  0.732
Tb  0.242  0.759  0.268
Tb  0.758  0.241  0.732
Tb  0.758  0.758  0.268
Tb  0.758  0.758  0.732
Tb  0.759  0.242  0.268
Dy  0.500  0.500  0.000
Dy  0.500  0.500  0.500
Sc  0.000  0.000  0.000
Sc  0.000  0.000  0.500
Sc  0.000  0.500  0.000
Sc  0.500  0.000  0.000

Computed properties:
Its formation energy is 303.2 meV/atom. Its offset from the most stable computed form is 1.101 eV/f.u.


[13]
Entry from Alexandria via LeMat-Bulk: Tb3Dy4Sc after structural relaxation (GGA-PBE).

a = 8.906 Å, b = 8.906 Å, c = 8.906 Å
α = 121.47°, β = 121.47°, γ = 87.47°
Positions (direct):
Tb  0.147  0.647  0.794
Tb  0.250  0.250  0.000
Tb  0.353  0.147  0.500
Tb  0.647  0.853  0.500
Tb  0.750  0.750  0.000
Tb  0.853  0.353  0.206
Dy  0.011  0.813  0.500
Dy  0.187  0.687  0.198
Dy  0.313  0.511  0.500
Dy  0.489  0.989  0.802
Dy  0.511  0.011  0.198
Dy  0.687  0.489  0.500
Dy  0.813  0.313  0.802
Dy  0.989  0.187  0.500
Sc  0.000  0.000  0.000
Sc  0.500  0.500  0.000

Computed properties:
Its formation energy is 89.0 meV/atom. Its offset from the most stable computed form is 0.567 eV/f.u.


[14]
Entry from Alexandria via LeMat-Bulk: Tb5DySc after structural relaxation (GGA-PBE).

a = 7.564 Å, b = 7.564 Å, c = 7.564 Å
α = 118.56°, β = 81.27°, γ = 132.36°
Positions (direct):
Tb  0.000  0.000  0.000
Tb  0.296  0.611  0.314
Tb  0.296  0.982  0.686
Tb  0.303  0.549  0.754
Tb  0.794  0.549  0.246
Dy  0.785  0.285  0.500
Sc  0.539  0.539  0.000

Computed properties:
Its formation energy is 920.3 meV/atom. Its offset from the most stable computed form is 5.041 eV/f.u.


[15]
Entry from Alexandria via LeMat-Bulk: Tb8DySc2 after structural relaxation (GGA-PBE).

a = 9.093 Å, b = 9.093 Å, c = 5.779 Å
α = 105.39°, β = 105.39°, γ = 121.64°
Positions (direct):
Tb  0.097  0.337  0.674
Tb  0.208  0.792  0.000
Tb  0.337  0.097  0.674
Tb  0.427  0.427  0.207
Tb  0.573  0.573  0.793
Tb  0.663  0.903  0.326
Tb  0.792  0.208  0.000
Tb  0.903  0.663  0.326
Dy  0.000  0.000  0.000
Sc  0.310  0.690  0.500
Sc  0.690  0.310  0.500

Computed properties:
Its formation energy is 168.3 meV/atom. Its offset from the most stable computed form is 0.498 eV/f.u.


[16]
Entry from Alexandria via LeMat-Bulk: TbDy2Sc7 after structural relaxation (GGA-PBE).

a = 13.899 Å, b = 13.899 Å, c = 3.324 Å
α = 90.00°, β = 90.00°, γ = 154.92°
Positions (direct):
Tb  0.000  0.000  0.000
Dy  0.289  0.711  0.500
Dy  0.711  0.289  0.500
Sc  0.148  0.346  0.500
Sc  0.182  0.818  0.000
Sc  0.346  0.148  0.500
Sc  0.500  0.500  0.500
Sc  0.654  0.852  0.500
Sc  0.818  0.182  0.000
Sc  0.852  0.654  0.500

Computed properties:
Its formation energy is 152.7 meV/atom. Its offset from the most stable computed form is 0.953 eV/f.u.


[17]
Entry from Alexandria via LeMat-Bulk: Tb8DySc6 after structural relaxation (GGA-PBE).

a = 7.898 Å, b = 7.898 Å, c = 7.898 Å
α = 73.06°, β = 73.06°, γ = 73.06°
Positions (direct):
Tb  0.092  0.092  0.092
Tb  0.138  0.272  0.565
Tb  0.272  0.565  0.138
Tb  0.435  0.862  0.728
Tb  0.565  0.138  0.272
Tb  0.728  0.435  0.862
Tb  0.862  0.728  0.435
Tb  0.908  0.908  0.908
Dy  0.500  0.500  0.500
Sc  0.115  0.557  0.790
Sc  0.210  0.885  0.443
Sc  0.443  0.210  0.885
Sc  0.557  0.790  0.115
Sc  0.790  0.115  0.557
Sc  0.885  0.443  0.210

Computed properties:
Its formation energy is 186.8 meV/atom. Its offset from the most stable computed form is 0.000 eV/f.u.


[18]
Entry from Alexandria via LeMat-Bulk: TbDy5Sc2 after structural relaxation (GGA-PBE).

a = 8.254 Å, b = 7.087 Å, c = 6.566 Å
α = 74.28°, β = 55.74°, γ = 49.97°
Positions (direct):
Tb  0.000  0.000  0.000
Dy  0.416  0.416  0.084
Dy  0.496  0.996  0.504
Dy  0.500  0.500  0.500
Dy  0.916  0.916  0.584
Dy  0.996  0.496  0.004
Sc  0.414  0.914  0.086
Sc  0.914  0.414  0.586

Computed properties:
Its formation energy is 29.7 meV/atom. Its offset from the most stable computed form is 0.000 eV/f.u.


[19]
Entry from Alexandria via LeMat-Bulk: Tb6Dy8Sc after structural relaxation (GGA-PBE).

a = 9.803 Å, b = 9.803 Å, c = 5.740 Å
α = 90.00°, β = 90.00°, γ = 120.00°
Positions (direct):
Tb  0.092  0.622  0.242
Tb  0.378  0.470  0.242
Tb  0.470  0.092  0.758
Tb  0.530  0.908  0.242
Tb  0.622  0.530  0.758
Tb  0.908  0.378  0.758
Dy  0.052  0.781  0.733
Dy  0.219  0.270  0.733
Dy  0.270  0.052  0.267
Dy  0.333  0.667  0.734
Dy  0.667  0.333  0.266
Dy  0.730  0.948  0.733
Dy  0.781  0.730  0.267
Dy  0.948  0.219  0.267
Sc  0.000  0.000  0.000

Computed properties:
Its formation energy is 144.5 meV/atom. Its offset from the most stable computed form is 0.380 eV/f.u.